Below is crystalline K3CrCu2F9 at its relaxed geometry, with properties calculated at the PBE with a Hubbard U level.

It has space group P-3m1 (No. 164), with a = 5.8427 Å, b = 5.8427 Å, c = 7.1816 Å, α = 90.00°, β = 90.00° and γ = 120.00°. The inequivalent atoms are K at (0.0000, 0.0000, 0.0000), K at (0.3333, 0.6667, 0.6833), Cr at (0.0000, 0.0000, 0.5000), Cu at (0.3333, 0.6667, 0.1621), F at (0.0000, 0.5000, 0.0000) and F at (0.1591, 0.3182, 0.3436).

Its total energy is -71.32 eV/cell. The value obtained for the total magnetization is 4.01 μB per cell. The calculation puts the density at 3.7 g cm⁻³. The density of states at the Fermi level comes out at 3.1 states/eV per cell.